# 1
Below is an optimized crystal structure of MgHg2Ir, with properties calculated at the PBE level.

The spin magnetization is 0.0 μB per cell. The distance to the lowest polymorph of the same formula is 3.8 kJ per mole of atoms.

The structure belongs to space group Pm (No. 6); the cell edges are 3.1363, 4.0029 and 5.9808 Å and the angles 90.00°, 90.35° and 90.00°. Symmetry generates all atoms from Mg at (0.0000, 0.0000, 0.0000), Hg at (0.0037, 0.0000, 0.4527), Hg at (0.5031, 0.5000, 0.7289) and Ir at (0.5017, 0.5000, 0.2024).

# 2
Below is an optimized crystal structure of Mg8HgIr2, with properties calculated at the PBE level.

The energy comes out at -3.07 eV/atom. The spin magnetization is 0.0 μB per cell.

The structure belongs to space group Immm (No. 71); the cell edges are 4.4114, 7.3323 and 12.9940 Å and the angles 90.00°, 90.00° and 90.00°. Symmetry generates all atoms from Mg at (0.0000, 0.0000, 0.1562), Mg at (0.0000, 0.2132, 0.3378), Mg at (0.0000, 0.3149, 0.0000), Hg at (0.0000, 0.5000, 0.5000) and Ir at (0.0000, 0.5000, 0.1917).

# 3
Below is an optimized crystal structure of Mg3HgIr, with properties calculated at the PBE level.

The spin magnetization is 0.0 μB per cell. The distance to the lowest polymorph of the same formula is 25.3 kJ per mole of atoms.

The structure belongs to space group Pm-3m (No. 221); the cell edges are 4.9952, 4.9952 and 4.9952 Å and the angles 90.00°, 90.00° and 90.00°. Symmetry generates all atoms from Mg at (0.0000, 0.0000, 0.5000), Hg at (0.5000, 0.5000, 0.5000) and Ir at (0.0000, 0.0000, 0.0000).

# 4
Below is an optimized crystal structure of Mg6Hg2Ir, with properties calculated at the PBE level.

The spin magnetization is 0.0 μB per cell. The distance to the lowest polymorph of the same formula is 1.6 kJ per mole of atoms.

The structure belongs to space group C2/m (No. 12); the cell edges are 15.0972, 7.7711 and 3.3374 Å and the angles 90.00°, 102.44° and 90.00°. Symmetry generates all atoms from Mg at (0.0000, 0.2246, 0.0000), Mg at (0.1609, 0.3142, 0.6589), Hg at (0.1644, 0.0000, 0.1619) and Ir at (0.0000, 0.5000, 0.5000).

# 5
Below is an optimized crystal structure of Mg4Hg3Ir, with properties calculated at the PBE level.

The energy comes out at -2.28 eV/atom. The spin magnetization is 0.0 μB per cell.

The structure belongs to space group P4/mmm (No. 123); the cell edges are 3.2887, 3.2887 and 14.3977 Å and the angles 90.00°, 90.00° and 90.00°. Symmetry generates all atoms from Mg at (0.0000, 0.0000, 0.0993), Mg at (0.0000, 0.0000, 0.3641), Hg at (0.5000, 0.5000, 0.2303), Hg at (0.5000, 0.5000, 0.5000) and Ir at (0.5000, 0.5000, 0.0000).

# 6
Below is an optimized crystal structure of MgHgIr2, with properties calculated at the PBE level.

The energy comes out at -4.68 eV/atom. The spin magnetization is 5.1 μB per cell.

The structure belongs to space group F-43m (No. 216); the cell edges are 6.4401, 6.4401 and 6.4401 Å and the angles 90.00°, 90.00° and 90.00°. Symmetry generates all atoms from Mg at (0.0000, 0.0000, 0.0000), Hg at (0.2500, 0.2500, 0.7500), Ir at (0.0000, 0.0000, 0.5000) and Ir at (0.2500, 0.2500, 0.2500).

# 7
Below is an optimized crystal structure of MgHg2Ir, with properties calculated at the PBE level.

The spin magnetization is 0.0 μB per cell. The distance to the lowest polymorph of the same formula is 3.0 kJ per mole of atoms.

The structure belongs to space group I-4m2 (No. 119); the cell edges are 4.0801, 4.0801 and 8.8452 Å and the angles 90.00°, 90.00° and 90.00°. Symmetry generates all atoms from Mg at (0.0000, 0.0000, 0.0000), Hg at (0.0000, 0.0000, 0.5000), Hg at (0.0000, 0.5000, 0.2500) and Ir at (0.0000, 0.5000, 0.7500).

# 8
Below is an optimized crystal structure of MgHg4Ir, with properties calculated at the PBE level.

The energy comes out at -1.42 eV/atom. The spin magnetization is 0.0 μB per cell.

The structure belongs to space group F-43m (No. 216); the cell edges are 7.9949, 7.9949 and 7.9949 Å and the angles 90.00°, 90.00° and 90.00°. Symmetry generates all atoms from Mg at (0.0000, 0.0000, 0.0000), Hg at (0.1247, 0.1247, 0.6247) and Ir at (0.2500, 0.2500, 0.2500).

# 9
Below is an optimized crystal structure of Mg5HgIr, with properties calculated at the PBE level.

The energy comes out at -2.69 eV/atom. The spin magnetization is 0.0 μB per cell.

The structure belongs to space group P4/mmm (No. 123); the cell edges are 4.6344, 4.6344 and 6.6893 Å and the angles 90.00°, 90.00° and 90.00°. Symmetry generates all atoms from Mg at (0.0000, 0.0000, 0.0000), Mg at (0.0000, 0.5000, 0.2902), Hg at (0.5000, 0.5000, 0.0000) and Ir at (0.0000, 0.0000, 0.5000).

# 10
Below is an optimized crystal structure of Mg6Hg5Ir, with properties calculated at the PBE level.

The energy comes out at -1.89 eV/atom. The spin magnetization is 0.0 μB per cell.

The structure belongs to space group C2/m (No. 12); the cell edges are 15.4370, 6.7366 and 4.8588 Å and the angles 90.00°, 108.24° and 90.00°. Symmetry generates all atoms from Mg at (0.0000, 0.2193, 0.0000), Mg at (0.1544, 0.2336, 0.6546), Hg at (0.0000, 0.5000, 0.5000), Hg at (0.1624, 0.5000, 0.1631), Hg at (0.1783, 0.0000, 0.1776) and Ir at (0.0000, 0.0000, 0.5000).

# 11
Below is an optimized crystal structure of MgHgIr2, with properties calculated at the PBE level.

The energy comes out at -4.73 eV/atom. The spin magnetization is 0.0 μB per cell.

The structure belongs to space group R-3m (No. 166, hexagonal axes); the cell edges are 2.8982, 2.8982 and 27.2631 Å and the angles 90.00°, 90.00° and 120.00°. Symmetry generates all atoms from Mg at (0.0000, 0.0000, 0.0000), Hg at (0.0000, 0.0000, 0.5000) and Ir at (0.0000, 0.0000, 0.2543).

# 12
Below is an optimized crystal structure of MgHg2MoIr, with properties calculated at the PBE level.

The energy comes out at -3.55 eV/atom. The spin magnetization is 2.3 μB per cell.

The structure belongs to space group P4/mmm (No. 123); the cell edges are 5.2409, 5.2409 and 4.8125 Å and the angles 90.00°, 90.00° and 90.00°. Symmetry generates all atoms from Mg at (0.0000, 0.0000, 0.0000), Hg at (0.0000, 0.5000, 0.5000), Mo at (0.5000, 0.5000, 0.0000) and Ir at (0.5000, 0.5000, 0.5000).

# 13
Below is an optimized crystal structure of MgHg2PIr, with properties calculated at the PBE level.

The energy comes out at -2.88 eV/atom. The spin magnetization is 0.0 μB per cell.

The structure belongs to space group P4/mmm (No. 123); the cell edges are 5.1887, 5.1887 and 4.3985 Å and the angles 90.00°, 90.00° and 90.00°. Symmetry generates all atoms from Mg at (0.0000, 0.0000, 0.0000), Hg at (0.0000, 0.5000, 0.5000), P at (0.5000, 0.5000, 0.5000) and Ir at (0.5000, 0.5000, 0.0000).

# 14
Below is an optimized crystal structure of Mg2HgIrPb, with properties calculated at the PBE level.

The energy comes out at -3.26 eV/atom. The spin magnetization is 0.0 μB per cell.

The structure belongs to space group P4/mmm (No. 123); the cell edges are 5.1126, 5.1126 and 5.1655 Å and the angles 90.00°, 90.00° and 90.00°. Symmetry generates all atoms from Mg at (0.0000, 0.5000, 0.0000), Hg at (0.0000, 0.0000, 0.5000), Ir at (0.5000, 0.5000, 0.0000) and Pb at (0.5000, 0.5000, 0.5000).

# 15
Below is an optimized crystal structure of MgHgIrPd2, with properties calculated at the PBE level.

The energy comes out at -3.12 eV/atom. The spin magnetization is 0.0 μB per cell.

The structure belongs to space group P4/mmm (No. 123); the cell edges are 4.9767, 4.9767 and 5.0135 Å and the angles 90.00°, 90.00° and 90.00°. Symmetry generates all atoms from Mg at (0.0000, 0.0000, 0.0000), Hg at (0.5000, 0.5000, 0.5000), Ir at (0.5000, 0.5000, 0.0000) and Pd at (0.0000, 0.5000, 0.5000).

# 16
Below is an optimized crystal structure of PrMgHgIr, with properties calculated at the PBE level.

The energy comes out at -4.18 eV/atom. The spin magnetization is 0.0 μB per cell.

The structure belongs to space group F-43m (No. 216); the cell edges are 7.0691, 7.0691 and 7.0691 Å and the angles 90.00°, 90.00° and 90.00°. Symmetry generates all atoms from Pr at (0.0000, 0.0000, 0.0000), Mg at (0.0000, 0.0000, 0.5000), Hg at (0.2500, 0.2500, 0.7500) and Ir at (0.2500, 0.2500, 0.2500).

# 17
Below is an optimized crystal structure of PuMgHgIr, with properties calculated at the PBE level.

The energy comes out at -6.43 eV/atom. The spin magnetization is 20.9 μB per cell.

The structure belongs to space group F-43m (No. 216); the cell edges are 6.9380, 6.9380 and 6.9380 Å and the angles 90.00°, 90.00° and 90.00°. Symmetry generates all atoms from Pu at (0.0000, 0.0000, 0.0000), Mg at (0.0000, 0.0000, 0.5000), Hg at (0.2500, 0.2500, 0.2500) and Ir at (0.2500, 0.2500, 0.7500).

# 18
Below is an optimized crystal structure of RbMg2HgIr, with properties calculated at the PBE level.

The energy comes out at -2.74 eV/atom. The spin magnetization is 0.0 μB per cell.

The structure belongs to space group P4/mmm (No. 123); the cell edges are 5.1140, 5.1140 and 5.4424 Å and the angles 90.00°, 90.00° and 90.00°. Symmetry generates all atoms from Rb at (0.0000, 0.0000, 0.0000), Mg at (0.0000, 0.5000, 0.5000), Hg at (0.5000, 0.5000, 0.0000) and Ir at (0.5000, 0.5000, 0.5000).

# 19
Below is an optimized crystal structure of MgReHgIr2, with properties calculated at the PBE level.

The energy comes out at -4.51 eV/atom. The spin magnetization is 2.3 μB per cell.

The structure belongs to space group P4/mmm (No. 123); the cell edges are 4.5203, 4.5203 and 4.6557 Å and the angles 90.00°, 90.00° and 90.00°. Symmetry generates all atoms from Mg at (0.0000, 0.0000, 0.0000), Re at (0.0000, 0.0000, 0.5000), Hg at (0.5000, 0.5000, 0.5000) and Ir at (0.0000, 0.5000, 0.0000).

# 20
Below is an optimized crystal structure of MgHg2IrRh, with properties calculated at the PBE level.

The energy comes out at -2.99 eV/atom. The spin magnetization is 0.0 μB per cell.

The structure belongs to space group P4/mmm (No. 123); the cell edges are 5.2072, 5.2072 and 4.7630 Å and the angles 90.00°, 90.00° and 90.00°. Symmetry generates all atoms from Mg at (0.0000, 0.0000, 0.0000), Hg at (0.0000, 0.5000, 0.5000), Ir at (0.5000, 0.5000, 0.5000) and Rh at (0.5000, 0.5000, 0.0000).